No. 1
HoEr8Tm3 | GGA-PBE | optimized geometry

The structure in POSCAR format:
```
HoEr8Tm3
1.0
6.078 0.000 0.000
2.081 6.686 0.000
2.110 1.190 8.901
Ho Er Tm
1 8 3
Direct
0.000 0.000 0.000
0.000 0.333 0.666
0.000 0.667 0.334
0.001 0.833 0.667
0.500 0.167 0.833
0.500 0.334 0.167
0.500 0.666 0.833
0.500 0.833 0.167
0.999 0.167 0.333
0.000 0.500 0.000
0.500 0.000 0.500
0.500 0.500 0.500
```

Computed properties:
**Symmetry**: No. 2
**ΔE_f**: 24 meV/atom
**Magnetization**: 0.000 μB/cell
**E**: -54.21 eV/f.u.

No. 2
CeCdN | GGA-PBE | optimized geometry

The structure in POSCAR format:
```
CeCdN
1.0
1.703 -10.657 0.000
1.703 10.657 0.000
0.000 0.000 3.433
Ce Cd N
2 2 2
Direct
0.186 0.814 0.750
0.814 0.186 0.250
0.443 0.557 0.750
0.557 0.443 0.250
0.294 0.706 0.750
0.706 0.294 0.250
```

Computed properties:
**Symmetry**: No. 63
**Magnetization**: 0.878 μB/cell
**ΔE_f (raw)**: -0.87 eV per atom
**E**: -17.79 eV/f.u.

No. 3
BaP2SBr | GGA-PBE | optimized geometry

The structure in POSCAR format:
```
BaP2SBr
1.0
6.584 0.000 0.000
0.000 6.584 0.000
0.000 0.000 5.761
Ba P S Br
1 2 1 1
Direct
0.000 0.000 0.000
0.000 0.500 0.000
0.500 0.000 0.000
0.000 0.000 0.500
0.500 0.500 0.500
```

Computed properties:
**Symmetry**: No. 123
**Magnetization**: 5.580 μB/cell
**ΔE_f (raw)**: 1.06 eV per atom
**E**: -13.26 eV/f.u.

No. 4
La6Pm5Tl | GGA-PBE | optimized geometry

The structure in POSCAR format:
```
La6Pm5Tl
1.0
-2.567 5.150 7.851
2.567 -5.150 7.851
2.567 5.150 -7.851
La Pm Tl
6 5 1
Direct
0.080 0.336 0.743
0.243 0.000 0.243
0.407 0.664 0.743
0.593 0.336 0.257
0.757 0.000 0.757
0.920 0.664 0.257
0.170 0.170 0.000
0.336 0.836 0.500
0.500 0.500 0.000
0.664 0.164 0.500
0.830 0.830 0.000
0.000 0.500 0.500
```

Computed properties:
**Symmetry**: No. 71
**ΔE_f**: -45 meV/atom
**Magnetization**: 0.000 μB/cell
**E**: -56.22 eV/f.u.

No. 5
KNbAgOs2 | GGA-PBE | optimized geometry

The structure in POSCAR format:
```
KNbAgOs2
1.0
4.981 0.000 0.000
0.000 4.981 0.000
0.000 0.000 4.894
K Nb Ag Os
1 1 1 2
Direct
0.000 0.000 0.000
0.500 0.500 0.000
0.500 0.500 0.500
0.000 0.500 0.500
0.500 0.000 0.500
```

Computed properties:
**Symmetry**: No. 123
**ΔE_f**: 2513 meV/atom
**Magnetization**: 0.000 μB/cell
**E**: -23.91 eV/f.u.

No. 6
Tl2OsO4F2 | GGA-PBE | optimized geometry

The structure in POSCAR format:
```
Tl2OsO4F2
1.0
-3.219 3.219 3.874
3.219 -3.219 3.874
3.219 3.219 -3.874
Tl Os O F
2 1 4 2
Direct
0.250 0.750 0.500
0.750 0.250 0.500
0.000 0.000 0.000
0.200 0.200 0.401
0.200 0.800 0.000
0.800 0.200 0.000
0.800 0.800 0.599
0.253 0.253 0.000
0.747 0.747 0.000
```

Computed properties:
**Symmetry**: No. 139
**Magnetization**: 0.000 μB/cell
**ΔE_f (raw)**: -1.12 eV per atom
**E**: -49.62 eV/f.u.

No. 7
Hf2ZrBeAg | GGA-PBE | optimized geometry

The structure in POSCAR format:
```
Hf2ZrBeAg
1.0
5.043 0.000 0.000
0.000 5.043 0.000
0.000 0.000 5.112
Hf Zr Be Ag
2 1 1 1
Direct
0.000 0.500 0.000
0.500 0.000 0.000
0.000 0.000 0.500
0.500 0.500 0.500
0.000 0.000 0.000
```

Computed properties:
**Symmetry**: No. 123
**ΔE_f**: 1361 meV/atom
**Magnetization**: 0.000 μB/cell
**E**: -28.23 eV/f.u.

No. 8
NaLiLa2 | GGA-PBE | optimized geometry

The structure in POSCAR format:
```
NaLiLa2
1.0
1.748 1.009 12.653
-1.748 1.009 12.653
0.000 -2.018 12.653
Na Li La
1 1 2
Direct
0.000 0.000 0.000
0.500 0.500 0.500
0.094 0.094 0.094
0.906 0.906 0.906
```

Computed properties:
**Symmetry**: No. 166
**ΔE_f**: 210 meV/atom
**Magnetization**: 0.001 μB/cell
**E**: -12.25 eV/f.u.

No. 9
CaBi2Ru2 | GGA-PBE | optimized geometry

The structure in POSCAR format:
```
CaBi2Ru2
1.0
-2.281 2.281 5.855
2.281 -2.281 5.855
2.281 2.281 -5.855
Ca Bi Ru
1 2 2
Direct
0.000 0.000 0.000
0.367 0.367 0.000
0.633 0.633 0.000
0.250 0.750 0.500
0.750 0.250 0.500
```

Computed properties:
**Symmetry**: No. 139
**ΔE_f**: 14 meV/atom
**Magnetization**: 0.000 μB/cell
**E**: -28.25 eV/f.u.

No. 10
SrTl2In | GGA-PBE | optimized geometry

The structure in POSCAR format:
```
SrTl2In
1.0
-2.475 2.482 5.017
2.475 -2.482 5.017
2.475 2.482 -5.017
Sr Tl In
1 2 1
Direct
0.000 0.000 0.000
0.250 0.750 0.500
0.501 0.501 0.000
0.750 0.250 0.500
```

Computed properties:
**Symmetry**: No. 44
**ΔE_f**: -243 meV/atom
**Magnetization**: 0.000 μB/cell
**E**: -10.12 eV/f.u.

No. 11
Tb2SmCo2 | GGA-PBE | optimized geometry

The structure in POSCAR format:
```
Tb2SmCo2
1.0
1.964 -7.304 0.000
1.964 7.304 0.000
0.000 0.000 4.022
Tb Sm Co
2 1 2
Direct
0.150 0.850 0.000
0.850 0.150 0.000
0.500 0.500 0.500
0.292 0.708 0.500
0.708 0.292 0.500
```

Computed properties:
**Symmetry**: No. 65
**ΔE_f**: -115 meV/atom
**Magnetization**: 0.843 μB/cell
**E**: -28.77 eV/f.u.

No. 12
NbPd2W | GGA-PBE | optimized geometry

The structure in POSCAR format:
```
NbPd2W
1.0
1.407 0.813 9.402
-1.407 0.813 9.402
0.000 -1.625 9.402
Nb Pd W
1 2 1
Direct
0.000 0.000 0.000
0.248 0.248 0.248
0.752 0.752 0.752
0.500 0.500 0.500
```

Computed properties:
**Symmetry**: No. 166
**ΔE_f**: 17 meV/atom
**Magnetization**: 0.000 μB/cell
**E**: -33.34 eV/f.u.

No. 13
Ta3BiH | GGA-PBE | optimized geometry

The structure in POSCAR format:
```
Ta3BiH
1.0
5.205 0.000 0.000
0.000 5.205 0.000
0.000 0.000 5.205
Ta Bi H
3 1 1
Direct
0.000 0.000 0.500
0.000 0.500 0.000
0.500 0.000 0.000
0.000 0.000 0.000
0.500 0.500 0.500
```

Computed properties:
**Symmetry**: No. 221
**Magnetization**: 0.614 μB/cell
**E**: -27.43 eV/f.u.